## TbPr6Er2Tm (PBE)

Data for a relaxed structure of TbPr6Er2Tm.

E_form: 0.116 eV/atom
DOS at the Fermi energy: 1.47 states/eV per atom
M_tot: 0.00 Bohr magnetons per cell

```
20
Lattice="0.368 8.182 5.112 -4.537 3.750 -6.798 -4.753 -4.389 6.245" Properties=species:S:1:pos:R:3 pbc="T T T"
Tb -4.451 5.564 -5.149
Tb -4.471 1.979 9.708
Pr -4.135 -2.479 4.267
Pr -5.111 0.648 6.202
Pr -4.787 10.022 0.292
Pr -3.811 6.895 -1.643
Pr -6.480 4.354 -2.447
Pr -2.506 3.639 -2.828
Pr -2.442 3.189 7.006
Pr -6.416 3.904 7.386
Pr -5.481 1.463 -1.158
Pr -3.578 3.767 0.311
Pr -3.441 6.079 5.717
Pr -5.344 3.776 4.248
Er -6.796 3.613 1.274
Er -2.289 0.618 -0.520
Er -2.126 3.930 3.285
Er -6.633 6.925 5.079
Tm -4.572 1.015 2.140
Tm -4.350 6.528 2.418
```